(1)
VASP calculation (PBE) on a relaxed LiTm2O crystal.

extended XYZ file:
```
4
Lattice="3.372 0.000 0.000 1.686 2.920 0.000 1.686 0.973 8.833" Properties=species:S:1:pos:R:3 pbc="T T T"
Li 0.000 0.000 0.000
Tm 5.058 2.920 3.082
O 3.372 1.947 4.417
Tm 1.686 0.973 5.751
```

Output
As for the symmetry: No. 166. As for the uncorrected formation energy: -1156.5 meV/atom. For the density of states at the Fermi level, the calculation gives 2.76 states/eV/f.u. As for the electronic total energy: -20.4 eV/cell.

***

(2)
VASP calculation (PBE) on a relaxed CaLaAg2 crystal.

extended XYZ file:
```
8
Lattice="6.849 0.000 0.000 0.000 6.849 0.000 3.425 3.425 6.758" Properties=species:S:1:pos:R:3 pbc="T T T"
Ca 3.425 6.849 3.379
Ag 5.080 1.712 1.689
Ca 3.425 3.425 0.000
Ag 1.770 5.137 1.689
La 0.000 0.000 0.000
La 6.849 3.425 3.379
Ag 8.562 8.504 5.068
Ag 5.137 5.194 5.068
```

Output
As for the symmetry: No. 122. For the density of states at the Fermi level, the calculation gives 5.42 states/eV/f.u. As for the electronic total energy: -22.6 eV/cell. As for the energy above the most stable polymorph in this dataset: 642 meV/atom. As for the calculated formation energy: 0.33 eV/atom.

***

(3)
VASP calculation (PBE) on a relaxed Li6TlHg2 crystal.

extended XYZ file:
```
9
Lattice="3.194 0.000 0.000 0.000 7.881 0.000 0.000 -3.940 6.968" Properties=species:S:1:pos:R:3 pbc="T T T"
Hg 0.000 0.000 4.644
Li 0.000 2.346 0.000
Hg 0.000 3.940 2.324
Li 0.000 2.782 4.887
Tl 1.597 7.862 0.000
Li 1.597 1.460 2.566
Li 0.000 -1.158 2.082
Li 1.597 4.951 0.000
Li 1.597 -2.481 4.403
```

Output
As for the symmetry: No. 38. For the density of states at the Fermi level, the calculation gives 4.48 states/eV/f.u. As for the electronic total energy: -16.7 eV/cell. As for the energy above the most stable polymorph in this dataset: 0 meV/atom. As for the calculated formation energy: -0.25 eV/atom.

***

(4)
VASP calculation (PBE) on a relaxed Cd2TcHg crystal.

extended XYZ file:
```
4
Lattice="-7.254 5.510 4.854 -7.513 2.957 6.430 -5.442 5.001 7.205" Properties=species:S:1:pos:R:3 pbc="T T T"
Cd -9.944 6.627 9.098
Tc -15.157 10.101 13.867
Hg -5.052 3.367 4.622
Cd -0.161 0.107 0.147
```

Output
As for the symmetry: No. 166. For the density of states at the Fermi level, the calculation gives 2.61 states/eV/f.u. As for the electronic total energy: -11.0 eV/cell. As for the calculated formation energy: 0.37 eV/atom.

***

(5)
VASP calculation (PBE) on a relaxed AcCeAgAs crystal.

extended XYZ file:
```
4
Lattice="5.382 0.000 0.000 2.691 4.661 0.000 2.691 1.554 4.394" Properties=species:S:1:pos:R:3 pbc="T T T"
Ag 2.691 1.554 1.099
As 8.073 4.661 3.296
Ce 0.000 0.000 0.000
Ac 5.382 3.107 2.197
```

Output
As for the symmetry: No. 216. For the density of states at the Fermi level, the calculation gives 10.36 states/eV/f.u. As for the electronic total energy: -19.7 eV/cell. As for the calculated formation energy: -0.54 eV/atom.

***

(6)
VASP calculation (PBE) on a relaxed Sm5ThZn6 crystal.

extended XYZ file:
```
12
Lattice="-3.259 3.530 1.869 -4.842 -5.235 1.446 7.121 -0.038 5.397" Properties=species:S:1:pos:R:3 pbc="T T T"
Sm -2.421 -2.618 0.723
Sm -3.028 -1.150 4.007
Sm -0.371 -3.212 5.435
Sm 2.048 -0.593 4.705
Zn -0.794 -0.132 5.989
Sm -0.609 1.469 3.277
Zn 1.872 -2.186 7.412
Zn 1.621 2.478 5.267
Th 0.000 0.000 0.000
Zn -2.852 0.443 1.300
Zn -2.601 -4.221 3.445
Zn -0.186 -1.611 2.723
```

Output
As for the symmetry: No. 71. For the density of states at the Fermi level, the calculation gives 13.43 states/eV/f.u. As for the electronic total energy: -42.1 eV/cell. As for the calculated formation energy: -0.29 eV/atom.

***

(7)
VASP calculation (PBE) on a relaxed Ti5FePd2Rh2 crystal.

extended XYZ file:
```
20
Lattice="-1.823 -2.186 -0.656 6.834 -6.874 3.913 -4.472 0.907 9.404" Properties=species:S:1:pos:R:3 pbc="T T T"
Ti -1.333 -2.895 6.846
Ti -0.381 -2.057 1.409
Fe 1.181 -2.983 6.658
Ti 0.148 -3.394 4.394
Ti 1.871 -5.257 5.814
Ti -3.867 -1.151 8.077
Fe 0.000 0.000 0.000
Rh 1.799 -2.323 2.742
Rh 4.260 -5.566 6.709
Ti 4.405 -7.001 4.583
Pd 2.837 -5.209 9.469
Ti 2.505 -4.530 1.628
Pd 3.784 -4.366 4.029
Rh 0.563 -3.643 10.574
Rh -1.898 -0.400 6.608
Pd -0.476 -0.758 3.847
Ti 0.920 -6.096 11.251
Ti -3.148 -0.640 4.374
Pd -1.423 -1.601 9.287
Ti 0.390 -4.759 8.266
```

Output
As for the symmetry: No. 127. For the density of states at the Fermi level, the calculation gives 8.28 states/eV/f.u. As for the electronic total energy: -153.7 eV/cell. As for the calculated formation energy: -0.38 eV/atom.

***

(8)
VASP calculation (PBE) on a relaxed LaY2Th3S6 crystal.

extended XYZ file:
```
12
Lattice="6.891 0.013 0.005 -3.433 5.975 0.005 -1.148 -1.988 6.685" Properties=species:S:1:pos:R:3 pbc="T T T"
S -0.065 3.994 5.062
Y 3.452 1.999 0.005
Th 4.645 -0.016 3.347
Th 1.155 2.000 3.347
S 2.375 0.005 1.633
Th -2.336 4.015 3.347
S 3.492 1.940 5.062
Y 0.006 3.989 0.005
S -1.182 2.059 1.633
S 0.042 0.073 5.099
La 0.000 0.000 0.000
S 2.268 3.926 1.595
```

Output
As for the symmetry: No. 12. As for the uncorrected formation energy: -1927.2 meV/atom. For the density of states at the Fermi level, the calculation gives 7.37 states/eV/f.u. As for the electronic total energy: -88.0 eV/cell.

***

(9)
VASP calculation (PBE) on a relaxed UTc2H crystal.

extended XYZ file:
```
4
Lattice="-2.630 0.970 0.940 -2.451 -0.678 -1.509 -2.476 -5.841 3.748" Properties=species:S:1:pos:R:3 pbc="T T T"
U 0.000 0.000 0.000
H -3.779 -2.774 1.590
Tc -2.211 -3.824 2.411
Tc -5.347 -1.724 0.769
```

Output
As for the symmetry: No. 166. For the density of states at the Fermi level, the calculation gives 5.34 states/eV/f.u. As for the electronic total energy: -34.0 eV/cell.

***

(10)
VASP calculation (PBE) on a relaxed Mg3Ag3HgAu2 crystal.

extended XYZ file:
```
9
Lattice="-1.636 -2.046 1.532 1.102 -5.343 -5.960 5.265 0.371 6.117" Properties=species:S:1:pos:R:3 pbc="T T T"
Ag 1.124 -2.540 0.814
Au 1.672 -4.461 -1.168
Mg 2.009 0.142 2.334
Ag -0.052 -4.736 -3.376
Au 3.060 -2.557 2.857
Mg 0.420 -2.038 -2.274
Hg 0.000 0.000 0.000
Ag 2.841 -0.765 5.017
Mg 3.938 -3.075 0.097
```

Output
As for the symmetry: No. 189. For the density of states at the Fermi level, the calculation gives 2.27 states/eV/f.u. As for the electronic total energy: -22.6 eV/cell. As for the calculated formation energy: -0.26 eV/atom.